Record 1
# Na3Al2O4, optimized geometry, DFT GGA-PBE
data_Na3Al2O4
_cell_length_a 5.888
_cell_length_b 5.888
_cell_length_c 8.633
_cell_angle_alpha 127.61
_cell_angle_beta 127.61
_cell_angle_gamma 31.94
_space_group_name_H-M_alt 'P 1'
_space_group_IT_number 1
_space_group_name_Hall 'P 1'
loop_
_atom_site_label
_atom_site_type_symbol
_atom_site_fract_x
_atom_site_fract_y
_atom_site_fract_z
Na1 Na 0.000 0.000 0.000
Na2 Na 0.184 0.184 0.808
Na3 Na 0.816 0.816 0.192
Al1 Al 0.378 0.378 0.636
Al2 Al 0.622 0.622 0.364
O1 O 0.210 0.210 0.359
O2 O 0.436 0.436 0.141
O3 O 0.564 0.564 0.859
O4 O 0.790 0.790 0.641
# - formation energy without anion corrections (eV/atom) = -1.99
# - symmetry = C2/m, No. 12

Record 2
# Li7Cu2Rh2, optimized geometry, DFT GGA-PBE
data_Li7Cu2Rh2
_cell_length_a 5.153
_cell_length_b 5.153
_cell_length_c 6.632
_cell_angle_alpha 94.99
_cell_angle_beta 94.99
_cell_angle_gamma 106.05
_space_group_name_H-M_alt 'P 1'
_space_group_IT_number 1
_space_group_name_Hall 'P 1'
loop_
_atom_site_label
_atom_site_type_symbol
_atom_site_fract_x
_atom_site_fract_y
_atom_site_fract_z
Li1 Li 0.000 0.000 0.000
Li2 Li 0.060 0.496 0.795
Li3 Li 0.441 0.441 0.221
Li4 Li 0.496 0.060 0.795
Li5 Li 0.504 0.940 0.205
Li6 Li 0.559 0.559 0.779
Li7 Li 0.940 0.504 0.205
Cu1 Cu 0.195 0.195 0.488
Cu2 Cu 0.805 0.805 0.512
Rh1 Rh 0.278 0.722 0.500
Rh2 Rh 0.722 0.278 0.500
# - calculated formation energy (eV/atom) = -0.023
# - symmetry = C2/m, No. 12
# - distance to the lowest polymorph of the same formula (meV per atom) = 0

Record 3
# CaAcIn, optimized geometry, DFT GGA-PBE
data_CaAcIn
_cell_length_a 5.559
_cell_length_b 5.559
_cell_length_c 5.559
_cell_angle_alpha 60.00
_cell_angle_beta 60.00
_cell_angle_gamma 60.00
_space_group_name_H-M_alt 'P 1'
_space_group_IT_number 1
_space_group_name_Hall 'P 1'
loop_
_atom_site_label
_atom_site_type_symbol
_atom_site_fract_x
_atom_site_fract_y
_atom_site_fract_z
Ca1 Ca 0.000 0.000 0.000
Ac1 Ac 0.500 0.500 0.500
In1 In 0.750 0.750 0.750
# - calculated formation energy (eV/atom) = -0.224
# - symmetry = F-43m, No. 216
# - distance to the lowest polymorph of the same formula (meV per atom) = 155

Record 4
# Ag2HS, optimized geometry, DFT GGA-PBE
data_Ag2HS
_cell_length_a 4.393
_cell_length_b 4.393
_cell_length_c 4.393
_cell_angle_alpha 60.00
_cell_angle_beta 60.00
_cell_angle_gamma 60.00
_space_group_name_H-M_alt 'P 1'
_space_group_IT_number 1
_space_group_name_Hall 'P 1'
loop_
_atom_site_label
_atom_site_type_symbol
_atom_site_fract_x
_atom_site_fract_y
_atom_site_fract_z
Ag1 Ag 0.250 0.250 0.250
Ag2 Ag 0.750 0.750 0.750
H1 H 0.000 0.000 0.000
S1 S 0.500 0.500 0.500
# - symmetry = Fm-3m, No. 225
# - distance to the lowest polymorph of the same formula (meV per atom) = 299

Record 5
# La2CdTc2, optimized geometry, DFT GGA-PBE
data_La2CdTc2
_cell_length_a 7.251
_cell_length_b 7.251
_cell_length_c 4.654
_cell_angle_alpha 90.00
_cell_angle_beta 90.00
_cell_angle_gamma 90.00
_space_group_name_H-M_alt 'P 1'
_space_group_IT_number 1
_space_group_name_Hall 'P 1'
loop_
_atom_site_label
_atom_site_type_symbol
_atom_site_fract_x
_atom_site_fract_y
_atom_site_fract_z
La1 La 0.182 0.318 0.000
La2 La 0.318 0.818 0.000
La3 La 0.682 0.182 0.000
La4 La 0.818 0.682 0.000
Cd1 Cd 0.000 0.000 0.500
Cd2 Cd 0.500 0.500 0.500
Tc1 Tc 0.111 0.611 0.500
Tc2 Tc 0.389 0.111 0.500
Tc3 Tc 0.611 0.889 0.500
Tc4 Tc 0.889 0.389 0.500
# - calculated formation energy (eV/atom) = 0.055
# - symmetry = P4/mbm, No. 127

Record 6
# LiRhCl3, optimized geometry, DFT GGA-PBE
data_LiRhCl3
_cell_length_a 4.626
_cell_length_b 4.626
_cell_length_c 4.626
_cell_angle_alpha 90.00
_cell_angle_beta 90.00
_cell_angle_gamma 90.00
_space_group_name_H-M_alt 'P 1'
_space_group_IT_number 1
_space_group_name_Hall 'P 1'
loop_
_atom_site_label
_atom_site_type_symbol
_atom_site_fract_x
_atom_site_fract_y
_atom_site_fract_z
Li1 Li 0.000 0.000 0.000
Rh1 Rh 0.500 0.500 0.500
Cl1 Cl 0.000 0.000 0.500
Cl2 Cl 0.000 0.500 0.000
Cl3 Cl 0.500 0.000 0.000
# - formation energy without anion corrections (eV/atom) = -0.10
# - symmetry = Pm-3m, No. 221
# - distance to the lowest polymorph of the same formula (meV per atom) = 577

Record 7
# NaCeSnPt, optimized geometry, DFT GGA-PBE
data_NaCeSnPt
_cell_length_a 4.970
_cell_length_b 4.970
_cell_length_c 4.970
_cell_angle_alpha 60.00
_cell_angle_beta 60.00
_cell_angle_gamma 60.00
_space_group_name_H-M_alt 'P 1'
_space_group_IT_number 1
_space_group_name_Hall 'P 1'
loop_
_atom_site_label
_atom_site_type_symbol
_atom_site_fract_x
_atom_site_fract_y
_atom_site_fract_z
Na1 Na 0.000 0.000 0.000
Ce1 Ce 0.250 0.250 0.250
Sn1 Sn 0.750 0.750 0.750
Pt1 Pt 0.500 0.500 0.500
# - calculated formation energy (eV/atom) = -0.582
# - symmetry = F-43m, No. 216

Record 8
# Y2LuO, optimized geometry, DFT GGA-PBE
data_Y2LuO
_cell_length_a 3.185
_cell_length_b 3.185
_cell_length_c 8.631
_cell_angle_alpha 90.00
_cell_angle_beta 90.00
_cell_angle_gamma 90.00
_space_group_name_H-M_alt 'P 1'
_space_group_IT_number 1
_space_group_name_Hall 'P 1'
loop_
_atom_site_label
_atom_site_type_symbol
_atom_site_fract_x
_atom_site_fract_y
_atom_site_fract_z
Y1 Y 0.000 0.000 0.178
Y2 Y 0.000 0.000 0.822
Lu1 Lu 0.500 0.500 0.500
O1 O 0.500 0.500 0.000
# - formation energy without anion corrections (eV/atom) = -0.84
# - symmetry = P4/mmm, No. 123

Record 9
# Er3FeSe, optimized geometry, DFT GGA-PBE
data_Er3FeSe
_cell_length_a 8.002
_cell_length_b 3.793
_cell_length_c 8.169
_cell_angle_alpha 90.00
_cell_angle_beta 109.01
_cell_angle_gamma 90.00
_space_group_name_H-M_alt 'P 1'
_space_group_IT_number 1
_space_group_name_Hall 'P 1'
loop_
_atom_site_label
_atom_site_type_symbol
_atom_site_fract_x
_atom_site_fract_y
_atom_site_fract_z
Er1 Er 0.076 0.250 0.239
Er2 Er 0.310 0.250 0.938
Er3 Er 0.333 0.750 0.598
Er4 Er 0.667 0.250 0.402
Er5 Er 0.690 0.750 0.062
Er6 Er 0.924 0.750 0.761
Fe1 Fe 0.056 0.250 0.565
Fe2 Fe 0.944 0.750 0.435
Se1 Se 0.376 0.750 0.246
Se2 Se 0.624 0.250 0.754
# - formation energy without anion corrections (eV/atom) = -0.69
# - symmetry = P2_1/m, No. 11

Record 10
# Sm7Y, optimized geometry, DFT GGA-PBE
data_Sm7Y
_cell_length_a 7.237
_cell_length_b 7.237
_cell_length_c 7.237
_cell_angle_alpha 60.00
_cell_angle_beta 60.00
_cell_angle_gamma 60.00
_space_group_name_H-M_alt 'P 1'
_space_group_IT_number 1
_space_group_name_Hall 'P 1'
loop_
_atom_site_label
_atom_site_type_symbol
_atom_site_fract_x
_atom_site_fract_y
_atom_site_fract_z
Sm1 Sm 0.000 0.000 0.000
Sm2 Sm 0.000 0.000 0.500
Sm3 Sm 0.000 0.500 0.000
Sm4 Sm 0.000 0.500 0.500
Sm5 Sm 0.500 0.000 0.000
Sm6 Sm 0.500 0.000 0.500
Sm7 Sm 0.500 0.500 0.000
Y1 Y 0.500 0.500 0.500
# - calculated formation energy (eV/atom) = 0.010
# - symmetry = Fm-3m, No. 225

Record 11
# PdAuOF2, optimized geometry, DFT GGA-PBE
data_PdAuOF2
_cell_length_a 4.327
_cell_length_b 4.327
_cell_length_c 3.841
_cell_angle_alpha 90.00
_cell_angle_beta 90.00
_cell_angle_gamma 90.00
_space_group_name_H-M_alt 'P 1'
_space_group_IT_number 1
_space_group_name_Hall 'P 1'
loop_
_atom_site_label
_atom_site_type_symbol
_atom_site_fract_x
_atom_site_fract_y
_atom_site_fract_z
Pd1 Pd 0.000 0.000 0.000
Au1 Au 0.500 0.500 0.500
O1 O 0.000 0.000 0.500
F1 F 0.000 0.500 0.000
F2 F 0.500 0.000 0.000
# - formation energy without anion corrections (eV/atom) = -0.32
# - symmetry = P4/mmm, No. 123
# - distance to the lowest polymorph of the same formula (meV per atom) = 0

Record 12
# Ac2SnPb5, optimized geometry, DFT GGA-PBE
data_Ac2SnPb5
_cell_length_a 7.144
_cell_length_b 14.221
_cell_length_c 5.037
_cell_angle_alpha 90.00
_cell_angle_beta 90.00
_cell_angle_gamma 90.00
_space_group_name_H-M_alt 'P 1'
_space_group_IT_number 1
_space_group_name_Hall 'P 1'
loop_
_atom_site_label
_atom_site_type_symbol
_atom_site_fract_x
_atom_site_fract_y
_atom_site_fract_z
Ac1 Ac 0.244 0.123 0.000
Ac2 Ac 0.256 0.623 0.000
Ac3 Ac 0.744 0.377 0.000
Ac4 Ac 0.756 0.877 0.000
Sn1 Sn 0.000 0.000 0.500
Sn2 Sn 0.500 0.500 0.500
Pb1 Pb 0.000 0.500 0.500
Pb2 Pb 0.005 0.751 0.500
Pb3 Pb 0.247 0.374 0.000
Pb4 Pb 0.253 0.874 0.000
Pb5 Pb 0.495 0.251 0.500
Pb6 Pb 0.500 0.000 0.500
Pb7 Pb 0.505 0.749 0.500
Pb8 Pb 0.747 0.126 0.000
Pb9 Pb 0.753 0.626 0.000
Pb10 Pb 0.995 0.249 0.500
# - calculated formation energy (eV/atom) = -0.424
# - symmetry = Pbam, No. 55

Record 13
# CaTa2TeN, optimized geometry, DFT GGA-PBE
data_CaTa2TeN
_cell_length_a 4.169
_cell_length_b 4.169
_cell_length_c 5.946
_cell_angle_alpha 90.00
_cell_angle_beta 90.00
_cell_angle_gamma 90.00
_space_group_name_H-M_alt 'P 1'
_space_group_IT_number 1
_space_group_name_Hall 'P 1'
loop_
_atom_site_label
_atom_site_type_symbol
_atom_site_fract_x
_atom_site_fract_y
_atom_site_fract_z
Ca1 Ca 0.000 0.000 0.000
Ta1 Ta 0.000 0.500 0.500
Ta2 Ta 0.500 0.000 0.500
Te1 Te 0.500 0.500 0.000
N1 N 0.500 0.500 0.500
# - formation energy without anion corrections (eV/atom) = -0.10
# - symmetry = P4/mmm, No. 123

Record 14
# AsOsPt4, optimized geometry, DFT GGA-PBE
data_AsOsPt4
_cell_length_a 5.251
_cell_length_b 5.251
_cell_length_c 5.251
_cell_angle_alpha 60.00
_cell_angle_beta 60.00
_cell_angle_gamma 60.00
_space_group_name_H-M_alt 'P 1'
_space_group_IT_number 1
_space_group_name_Hall 'P 1'
loop_
_atom_site_label
_atom_site_type_symbol
_atom_site_fract_x
_atom_site_fract_y
_atom_site_fract_z
As1 As 0.000 0.000 0.000
Os1 Os 0.250 0.250 0.250
Pt1 Pt 0.126 0.625 0.625
Pt2 Pt 0.625 0.126 0.625
Pt3 Pt 0.625 0.625 0.126
Pt4 Pt 0.625 0.625 0.625
# - calculated formation energy (eV/atom) = 0.649
# - symmetry = F-43m, No. 216

Record 15
# TbPmLuAl, optimized geometry, DFT GGA-PBE
data_TbPmLuAl
_cell_length_a 5.360
_cell_length_b 5.360
_cell_length_c 5.360
_cell_angle_alpha 60.00
_cell_angle_beta 60.00
_cell_angle_gamma 60.00
_space_group_name_H-M_alt 'P 1'
_space_group_IT_number 1
_space_group_name_Hall 'P 1'
loop_
_atom_site_label
_atom_site_type_symbol
_atom_site_fract_x
_atom_site_fract_y
_atom_site_fract_z
Tb1 Tb 0.000 0.000 0.000
Pm1 Pm 0.500 0.500 0.500
Lu1 Lu 0.250 0.250 0.250
Al1 Al 0.750 0.750 0.750
# - calculated formation energy (eV/atom) = -0.081
# - symmetry = F-43m, No. 216

Record 16
# Mn2CuP, optimized geometry, DFT GGA-PBE
data_Mn2CuP
_cell_length_a 7.855
_cell_length_b 7.855
_cell_length_c 7.855
_cell_angle_alpha 19.19
_cell_angle_beta 19.19
_cell_angle_gamma 19.19
_space_group_name_H-M_alt 'P 1'
_space_group_IT_number 1
_space_group_name_Hall 'P 1'
loop_
_atom_site_label
_atom_site_type_symbol
_atom_site_fract_x
_atom_site_fract_y
_atom_site_fract_z
Mn1 Mn 0.242 0.242 0.242
Mn2 Mn 0.758 0.758 0.758
Cu1 Cu 0.000 0.000 0.000
P1 P 0.500 0.500 0.500
# - calculated formation energy (eV/atom) = 0.073
# - symmetry = R-3m, No. 166

Record 17
# Ta2NbW5, optimized geometry, DFT GGA-PBE
data_Ta2NbW5
_cell_length_a 7.200
_cell_length_b 7.200
_cell_length_c 7.200
_cell_angle_alpha 143.01
_cell_angle_beta 143.01
_cell_angle_gamma 53.31
_space_group_name_H-M_alt 'P 1'
_space_group_IT_number 1
_space_group_name_Hall 'P 1'
loop_
_atom_site_label
_atom_site_type_symbol
_atom_site_fract_x
_atom_site_fract_y
_atom_site_fract_z
Ta1 Ta 0.250 0.250 0.000
Ta2 Ta 0.750 0.750 0.000
Nb1 Nb 0.000 0.000 0.000
W1 W 0.124 0.624 0.500
W2 W 0.376 0.876 0.500
W3 W 0.500 0.500 0.000
W4 W 0.624 0.124 0.500
W5 W 0.876 0.376 0.500
# - calculated formation energy (eV/atom) = -0.100
# - symmetry = I4/mmm, No. 139

Record 18
# SmFe3C3, optimized geometry, DFT GGA-PBE
data_SmFe3C3
_cell_length_a 6.995
_cell_length_b 6.995
_cell_length_c 6.995
_cell_angle_alpha 47.32
_cell_angle_beta 47.32
_cell_angle_gamma 47.32
_space_group_name_H-M_alt 'P 1'
_space_group_IT_number 1
_space_group_name_Hall 'P 1'
loop_
_atom_site_label
_atom_site_type_symbol
_atom_site_fract_x
_atom_site_fract_y
_atom_site_fract_z
Sm1 Sm 0.167 0.167 0.167
Sm2 Sm 0.833 0.833 0.833
Fe1 Fe 0.076 0.685 0.365
Fe2 Fe 0.315 0.635 0.924
Fe3 Fe 0.365 0.076 0.685
Fe4 Fe 0.635 0.924 0.315
Fe5 Fe 0.685 0.365 0.076
Fe6 Fe 0.924 0.315 0.635
C1 C 0.035 0.405 0.748
C2 C 0.252 0.965 0.595
C3 C 0.405 0.748 0.035
C4 C 0.595 0.252 0.965
C5 C 0.748 0.035 0.405
C6 C 0.965 0.595 0.252
# - calculated formation energy (eV/atom) = 0.120
# - symmetry = R-3, No. 148

Record 19
# BaMgTiRh2, optimized geometry, DFT GGA-PBE
data_BaMgTiRh2
_cell_length_a 4.727
_cell_length_b 4.727
_cell_length_c 5.357
_cell_angle_alpha 90.00
_cell_angle_beta 90.00
_cell_angle_gamma 90.00
_space_group_name_H-M_alt 'P 1'
_space_group_IT_number 1
_space_group_name_Hall 'P 1'
loop_
_atom_site_label
_atom_site_type_symbol
_atom_site_fract_x
_atom_site_fract_y
_atom_site_fract_z
Ba1 Ba 0.000 0.000 0.000
Mg1 Mg 0.500 0.500 0.000
Ti1 Ti 0.500 0.500 0.500
Rh1 Rh 0.000 0.500 0.500
Rh2 Rh 0.500 0.000 0.500
# - calculated formation energy (eV/atom) = 0.118
# - symmetry = P4/mmm, No. 123

Record 20
# SrSi2Ir, optimized geometry, DFT GGA-PBE
data_SrSi2Ir
_cell_length_a 9.162
_cell_length_b 9.162
_cell_length_c 4.471
_cell_angle_alpha 90.00
_cell_angle_beta 90.00
_cell_angle_gamma 154.86
_space_group_name_H-M_alt 'P 1'
_space_group_IT_number 1
_space_group_name_Hall 'P 1'
loop_
_atom_site_label
_atom_site_type_symbol
_atom_site_fract_x
_atom_site_fract_y
_atom_site_fract_z
Sr1 Sr 0.146 0.854 0.000
Sr2 Sr 0.854 0.146 0.000
Si1 Si 0.000 0.000 0.500
Si2 Si 0.289 0.711 0.500
Si3 Si 0.500 0.500 0.000
Si4 Si 0.711 0.289 0.500
Ir1 Ir 0.424 0.576 0.500
Ir2 Ir 0.576 0.424 0.500
# - formation energy without anion corrections (eV/atom) = -0.57
# - symmetry = Cmmm, No. 65

Volume (Å³ per atom)
13.594; 15.223; 40.488; 14.988; 24.469; 19.796; 21.703; 21.890; 23.445; 33.501; 14.384; 31.987; 20.663; 17.065; 27.218; 11.443; 16.787; 12.086; 23.937; 19.928